1.
VASP calculation (PBE) on a relaxed structure of Ca2CoTc2.

abc: 3.4706 3.4706 9.3977
angles: 79.36 79.36 90.00
Last column: magnetic moment on the atom in μB.
Fractional coordinates of all 5 atoms:
Ca (0.4017, 0.4017, 0.1966)  -0.06
Ca (0.5983, 0.5983, 0.8034)  -0.06
Co (0.0000, 0.0000, 0.0000)  1.20
Tc (0.7500, 0.2500, 0.5000)  -0.04
Tc (0.2500, 0.7500, 0.5000)  -0.04

Summary:
The value obtained for the energy of formation from the pure elements is 0.570 eV per atom. Its symmetry is No. 139. The calculation puts the magnetic moment at 0.72 μB/f.u. For the uncorrected energy, the calculation gives -29.0 eV/cell. The density of states at the Fermi level is 7.22 states/eV/cell.

2.
VASP calculation (PBE) on a relaxed structure of CaCoTc.

abc: 7.3161 4.1483 5.7230
angles: 111.24 46.08 89.99
Fractional coordinates of all 6 atoms:
Ca (0.1213, 0.9839, 0.1019)
Ca (0.7446, 0.5078, 0.1503)
Co (0.5344, 0.3220, 0.7782)
Co (0.3314, 0.1698, 0.4740)
Tc (0.6829, 0.8410, 0.8162)
Tc (0.1829, 0.6508, 0.4360)

Summary:
The value obtained for the energy of formation from the pure elements is 0.198 eV per atom. Its symmetry is No. 12. The calculation puts the magnetic moment at 0.00 μB/f.u. For the uncorrected energy, the calculation gives -37.8 eV/cell. The density of states at the Fermi level is 5.01 states/eV/cell.

3.
VASP calculation (PBE) on a relaxed structure of CaCo2Tc.

abc: 5.0851 5.0851 4.7482
angles: 73.06 73.06 30.75
Last column: magnetic moment on the atom in μB.
Fractional coordinates of all 4 atoms:
Ca (0.2589, 0.2589, 0.2132)  -0.03
Co (0.0337, 0.0337, 0.9887)  1.17
Co (0.7374, 0.7374, 0.7151)  0.82
Tc (0.4701, 0.4701, 0.5831)  0.18

Summary:
The value obtained for the energy of formation from the pure elements is 0.440 eV per atom. Its symmetry is No. 8. The calculation puts the magnetic moment at 2.08 μB/f.u. For the uncorrected energy, the calculation gives -24.8 eV/cell. The density of states at the Fermi level is 4.75 states/eV/cell.